## 1
# Nb2HgRh2

An optimized crystal structure of Nb2HgRh2 (PBEsol, the Alexandria database).

The calculation puts the total magnetization at 0.00 Bohr magnetons per cell. The density of states at the Fermi level is 2.46 states/eV/cell.

It has space group I4/mmm (No. 139), with a = 4.3618 Å, b = 4.3618 Å, c = 9.9359 Å, α = 90.00°, β = 90.00° and γ = 90.00°. The distinct sites, in fractional coordinates, are Nb at (0.0000, 0.5000, 0.2500), Hg at (0.0000, 0.0000, 0.0000) and Rh at (0.0000, 0.0000, 0.3771).

=====

## 2
# Nb2HgRh2

An optimized crystal structure of Nb2HgRh2 (PBEsol, the Alexandria database).

The calculation puts the total magnetization at 0.00 Bohr magnetons per cell. The density of states at the Fermi level is 5.72 states/eV/cell.

It has space group P4/mbm (No. 127), with a = 7.5917 Å, b = 7.5917 Å, c = 2.9020 Å, α = 90.00°, β = 90.00° and γ = 90.00°. The distinct sites, in fractional coordinates, are Nb at (0.1657, 0.3343, 0.0000), Hg at (0.0000, 0.0000, 0.5000) and Rh at (0.1282, 0.6282, 0.5000).

=====

Among the structures shown above, 2 is the most stable, with the second-best lying 27.3 kJ/mol of atoms higher.